[1]
KLi2Rh (PBE, optimized geometry); formation enthalpy at 0 K = 0.236 eV/atom; N(E_F) = 0.593 states/eV per atom; final energy = -11.3 eV per cell; space-group type = Imm2 (44)
1.0
-1.425 2.237 7.882
1.425 -2.237 7.882
1.425 2.237 -7.882
K Li Rh
1 2 1
Direct
0.000 0.000 0.000
0.308 0.808 0.500
0.688 0.688 0.000
0.820 0.320 0.500

=====

[2]
Ag2Cl (PBE, optimized geometry); formation energy (no corrections) = -0.133 eV per atom; N(E_F) = 0.096 states/eV per atom; final energy = -31.8 eV per cell; space-group type = Pnma (62)
1.0
6.303 0.000 0.000
0.000 3.357 0.000
0.000 0.000 12.012
Ag Cl
8 4
Direct
0.035 0.250 0.189
0.184 0.750 0.014
0.316 0.250 0.514
0.465 0.750 0.689
0.535 0.250 0.311
0.684 0.750 0.486
0.816 0.250 0.986
0.965 0.750 0.811
0.035 0.750 0.363
0.465 0.250 0.863
0.535 0.750 0.137
0.965 0.250 0.637

=====

[3]
LiTl2Te2 (PBE, optimized geometry); formation energy (no corrections) = -0.403 eV per atom; N(E_F) = 0.549 states/eV per atom; final energy = -29.9 eV per cell; space-group type = C2/m (12)
1.0
6.759 -2.454 0.000
6.759 2.454 0.000
-6.038 0.000 9.669
Li Tl Te
2 4 4
Direct
0.173 0.173 0.362
0.827 0.827 0.638
0.152 0.152 0.648
0.394 0.394 0.085
0.606 0.606 0.915
0.848 0.848 0.352
0.175 0.175 0.116
0.406 0.406 0.608
0.594 0.594 0.392
0.825 0.825 0.884

=====

[4]
Rb2CeUO6 (PBE, optimized geometry); formation energy (no corrections) = -2.858 eV per atom; N(E_F) = 0.000 states/eV per atom; final energy = -77.5 eV per cell; space-group type = Fm-3m (225)
1.0
0.000 4.384 4.384
4.384 0.000 4.384
4.384 4.384 0.000
Rb Ce U O
2 1 1 6
Direct
0.250 0.250 0.250
0.750 0.750 0.750
0.000 0.000 0.000
0.500 0.500 0.500
0.260 0.260 0.740
0.260 0.740 0.260
0.260 0.740 0.740
0.740 0.260 0.260
0.740 0.260 0.740
0.740 0.740 0.260

=====

[5]
AlHPb3 (PBE, optimized geometry); N(E_F) = 0.523 states/eV per atom; final energy = -14.1 eV per cell; space-group type = Pm-3m (221)
1.0
5.474 0.000 0.000
0.000 5.474 0.000
0.000 0.000 5.474
Al H Pb
1 1 3
Direct
0.000 0.000 0.000
0.500 0.500 0.500
0.000 0.000 0.500
0.000 0.500 0.000
0.500 0.000 0.000

=====

[6]
Mn2ReTc (PBE, optimized geometry); formation enthalpy at 0 K = 0.065 eV/atom; N(E_F) = 1.399 states/eV per atom; final energy = -40.9 eV per cell; space-group type = I-4m2 (119)
1.0
-1.909 1.909 3.706
1.909 -1.909 3.706
1.909 1.909 -3.706
Mn Re Tc
2 1 1
Direct
0.000 0.000 0.000
0.750 0.250 0.500
0.500 0.500 0.000
0.250 0.750 0.500

=====

[7]
LaMgH6Pd2 (PBE, optimized geometry); N(E_F) = 0.238 states/eV per atom; final energy = -40.7 eV per cell; space-group type = R-3m (166)
1.0
2.330 1.345 5.468
-2.330 1.345 5.468
0.000 -2.690 5.468
La Mg H Pd
1 1 6 2
Direct
0.000 0.000 0.000
0.500 0.500 0.500
0.077 0.560 0.560
0.440 0.440 0.923
0.440 0.923 0.440
0.560 0.077 0.560
0.560 0.560 0.077
0.923 0.440 0.440
0.210 0.210 0.210
0.790 0.790 0.790

=====

[8]
AcLa5Nd3 (PBE, optimized geometry); formation enthalpy at 0 K = 0.241 eV/atom; N(E_F) = 1.738 states/eV per atom; final energy = -81.8 eV per cell; space-group type = I4/mcm (140)
1.0
-4.621 4.621 7.961
4.621 -4.621 7.961
4.621 4.621 -7.961
Ac La Nd
2 10 6
Direct
0.250 0.750 0.500
0.750 0.250 0.500
0.000 0.000 0.000
0.076 0.576 0.916
0.160 0.076 0.500
0.340 0.840 0.916
0.424 0.340 0.500
0.500 0.500 0.000
0.576 0.660 0.500
0.660 0.160 0.084
0.840 0.924 0.500
0.924 0.424 0.084
0.115 0.385 0.500
0.250 0.250 0.000
0.385 0.885 0.271
0.615 0.115 0.729
0.750 0.750 0.000
0.885 0.615 0.500

=====

[9]
K2SrBe (PBE, optimized geometry); formation enthalpy at 0 K = 0.637 eV/atom; N(E_F) = 0.934 states/eV per atom; final energy = -5.1 eV per cell; space-group type = I4/mmm (139)
1.0
-2.543 2.543 6.572
2.543 -2.543 6.572
2.543 2.543 -6.572
K Sr Be
2 1 1
Direct
0.250 0.750 0.500
0.750 0.250 0.500
0.000 0.000 0.000
0.500 0.500 0.000

=====

[10]
Ac3Hg3Pd2 (PBE, optimized geometry); formation enthalpy at 0 K = -0.628 eV/atom; N(E_F) = 0.518 states/eV per atom; final energy = -57.3 eV per cell; space-group type = Cmcm (63)
1.0
2.156 -5.749 0.000
2.156 5.749 0.000
0.000 0.000 18.331
Ac Hg Pd
6 6 4
Direct
0.072 0.928 0.604
0.072 0.928 0.896
0.335 0.665 0.750
0.665 0.335 0.250
0.928 0.072 0.104
0.928 0.072 0.396
0.358 0.642 0.535
0.358 0.642 0.965
0.385 0.615 0.250
0.615 0.385 0.750
0.642 0.358 0.035
0.642 0.358 0.465
0.226 0.774 0.125
0.226 0.774 0.375
0.774 0.226 0.625
0.774 0.226 0.875

=====

[11]
TbDy2Tl (PBE, optimized geometry); formation enthalpy at 0 K = -0.107 eV/atom; N(E_F) = 1.433 states/eV per atom; final energy = -16.6 eV per cell; space-group type = R3m (160)
1.0
1.818 1.050 10.731
-1.818 1.050 10.731
0.000 -2.100 10.731
Tb Dy Tl
1 2 1
Direct
0.000 0.000 0.000
0.245 0.245 0.245
0.422 0.422 0.422
0.833 0.833 0.833

=====

[12]
TbNdZn2Ga2 (PBE, optimized geometry); formation enthalpy at 0 K = -0.564 eV/atom; N(E_F) = 0.565 states/eV per atom; final energy = -21.4 eV per cell; space-group type = P-3m1 (164)
1.0
4.457 0.000 0.000
-2.228 3.860 0.000
0.000 0.000 7.431
Tb Nd Zn Ga
1 1 2 2
Direct
0.000 0.000 0.000
0.000 0.000 0.500
0.333 0.667 0.771
0.667 0.333 0.229
0.333 0.667 0.236
0.667 0.333 0.764

=====

[13]
BiAsPdW2 (PBE, optimized geometry); formation enthalpy at 0 K = 2.818 eV/atom; N(E_F) = 1.314 states/eV per atom; final energy = -25.5 eV per cell; space-group type = P4/mmm (123)
1.0
5.066 0.000 0.000
0.000 5.066 0.000
0.000 0.000 5.267
Bi As Pd W
1 1 1 2
Direct
0.000 0.000 0.000
0.000 0.000 0.500
0.500 0.500 0.500
0.000 0.500 0.000
0.500 0.000 0.000

=====

[14]
MgRh4Cl (PBE, optimized geometry); formation energy (no corrections) = 0.402 eV per atom; N(E_F) = 1.896 states/eV per atom; final energy = -30.4 eV per cell; space-group type = F-43m (216)
1.0
0.000 3.705 3.705
3.705 0.000 3.705
3.705 3.705 0.000
Mg Rh Cl
1 4 1
Direct
0.000 0.000 0.000
0.125 0.625 0.625
0.625 0.125 0.625
0.625 0.625 0.125
0.625 0.625 0.625
0.250 0.250 0.250

=====

[15]
ZrPdPt3 (PBE, optimized geometry); formation enthalpy at 0 K = -0.259 eV/atom; N(E_F) = 0.724 states/eV per atom; final energy = -66.3 eV per cell; space-group type = P6_3/mmc (194)
1.0
6.590 0.000 0.000
-3.295 5.707 0.000
0.000 0.000 4.940
Zr Pd Pt
2 2 6
Direct
0.333 0.667 0.250
0.667 0.333 0.750
0.000 0.000 0.000
0.000 0.000 0.500
0.201 0.403 0.750
0.201 0.799 0.750
0.403 0.201 0.250
0.597 0.799 0.750
0.799 0.201 0.250
0.799 0.597 0.250

=====

[16]
Ta4CuAs (PBE, optimized geometry); formation enthalpy at 0 K = 0.703 eV/atom; N(E_F) = 1.035 states/eV per atom; final energy = -51.9 eV per cell; space-group type = F-43m (216)
1.0
0.000 3.845 3.845
3.845 0.000 3.845
3.845 3.845 0.000
Ta Cu As
4 1 1
Direct
0.376 0.376 0.376
0.376 0.376 0.872
0.376 0.872 0.376
0.872 0.376 0.376
0.750 0.750 0.750
0.000 0.000 0.000

=====

[17]
NaTlGe (PBE, optimized geometry); formation enthalpy at 0 K = -0.008 eV/atom; N(E_F) = 0.552 states/eV per atom; final energy = -16.7 eV per cell; space-group type = P1 (1)
1.0
4.001 0.000 0.000
0.019 6.157 0.000
1.998 2.267 6.719
Na Tl Ge
2 2 2
Direct
0.000 0.000 0.000
0.406 0.430 0.193
0.291 0.855 0.418
0.707 0.344 0.590
0.077 0.531 0.848
0.624 0.812 0.753

=====

[18]
CsSCl2 (PBE, optimized geometry); formation energy (no corrections) = -0.302 eV per atom; N(E_F) = 0.000 states/eV per atom; final energy = -9.9 eV per cell; space-group type = Fm-3m (225)
1.0
0.000 3.969 3.969
3.969 0.000 3.969
3.969 3.969 0.000
Cs S Cl
1 1 2
Direct
0.000 0.000 0.000
0.500 0.500 0.500
0.250 0.250 0.250
0.750 0.750 0.750

=====

[19]
U6TaN12 (PBE, optimized geometry); formation energy (no corrections) = -1.360 eV per atom; N(E_F) = 1.100 states/eV per atom; final energy = -205.3 eV per cell; space-group type = R-3 (148)
1.0
4.901 2.829 3.063
-4.901 2.829 3.063
0.000 -5.659 3.063
U Ta N
6 1 12
Direct
0.096 0.789 0.635
0.211 0.365 0.904
0.365 0.904 0.211
0.635 0.096 0.789
0.789 0.635 0.096
0.904 0.211 0.365
0.500 0.500 0.500
0.065 0.904 0.325
0.096 0.675 0.935
0.185 0.435 0.562
0.325 0.065 0.904
0.435 0.562 0.185
0.438 0.815 0.565
0.562 0.185 0.435
0.565 0.438 0.815
0.675 0.935 0.096
0.815 0.565 0.438
0.904 0.325 0.065
0.935 0.096 0.675

=====

[20]
Sm5Ga2Bi (PBE, optimized geometry); formation enthalpy at 0 K = -0.571 eV/atom; N(E_F) = 0.887 states/eV per atom; final energy = -76.2 eV per cell; space-group type = I4/mcm (140)
1.0
-4.195 4.195 6.550
4.195 -4.195 6.550
4.195 4.195 -6.550
Sm Ga Bi
10 4 2
Direct
0.000 0.000 0.000
0.012 0.512 0.808
0.205 0.012 0.500
0.295 0.795 0.808
0.488 0.295 0.500
0.500 0.500 0.000
0.512 0.705 0.500
0.705 0.205 0.192
0.795 0.988 0.500
0.988 0.488 0.192
0.147 0.353 0.500
0.353 0.853 0.205
0.647 0.147 0.795
0.853 0.647 0.500
0.250 0.250 0.000
0.750 0.750 0.000